# 1
VASP calculation (PBE) on an optimized crystal structure of Tb2Y3Tl3.

CIF file:
```
data_Tb2Y3Tl3
_chemical_formula_sum 'Tb2 Y3 Tl3'
_cell_length_a 3.785
_cell_length_b 5.375
_cell_length_c 11.781
_cell_angle_alpha 103.19
_cell_angle_beta 99.24
_cell_angle_gamma 90.00
_space_group_name_H-M_alt 'P 1'
_space_group_IT_number 1
loop_
_space_group_symop_operation_xyz
'x,y,z'
loop_
_atom_site_label
_atom_site_fract_x
_atom_site_fract_y
_atom_site_fract_z
_atom_site_occupancy
Tb1 0.265 0.765 0.530 1
Tl1 0.120 0.120 0.239 1
Tl2 0.880 0.880 0.761 1
Y1 0.625 0.625 0.250 1
Tb2 0.735 0.235 0.470 1
Y2 0.375 0.375 0.750 1
Tl3 0.000 0.500 0.000 1
Y3 0.500 0.000 0.000 1
```

- E (eV per atom) = -4.759
- symmetry = Immm
- DOS at the Fermi energy (states/eV per atom) = 0.862
- volume (A^3/atom) = 28.8
- energy relative to the elements (eV per atom) = -0.29

***

# 2
VASP calculation (PBE) on an optimized crystal structure of KUBe2F8.

CIF file:
```
data_KUBe2F8
_chemical_formula_sum 'K1 U1 Be2 F8'
_cell_length_a 5.166
_cell_length_b 5.166
_cell_length_c 8.329
_cell_angle_alpha 71.93
_cell_angle_beta 71.93
_cell_angle_gamma 60.00
_space_group_name_H-M_alt 'P 1'
_space_group_IT_number 1
loop_
_space_group_symop_operation_xyz
'x,y,z'
loop_
_atom_site_label
_atom_site_fract_x
_atom_site_fract_y
_atom_site_fract_z
_atom_site_occupancy
F1 0.489 0.057 0.683 1
F2 0.943 0.511 0.317 1
F3 0.772 0.489 0.683 1
F4 0.057 0.772 0.683 1
F5 0.511 0.228 0.317 1
K1 0.000 0.000 0.000 1
F6 0.228 0.943 0.317 1
Be1 0.745 0.745 0.764 1
F7 0.682 0.682 0.955 1
U1 0.500 0.500 0.500 1
Be2 0.255 0.255 0.236 1
F8 0.318 0.318 0.045 1
```

- E (eV per atom) = -6.118
- symmetry = R32
- DOS at the Fermi energy (states/eV per atom) = 0.063
- formation energy from raw total energies (kJ per mole of atoms) = -310.5
- volume (A^3/atom) = 15.0

***

# 3
VASP calculation (PBE) on an optimized crystal structure of NdSc2Ir.

CIF file:
```
data_NdSc2Ir
_chemical_formula_sum 'Nd1 Sc2 Ir1'
_cell_length_a 4.416
_cell_length_b 4.416
_cell_length_c 6.432
_cell_angle_alpha 69.92
_cell_angle_beta 69.92
_cell_angle_gamma 60.00
_space_group_name_H-M_alt 'P 1'
_space_group_IT_number 1
loop_
_space_group_symop_operation_xyz
'x,y,z'
loop_
_atom_site_label
_atom_site_fract_x
_atom_site_fract_y
_atom_site_fract_z
_atom_site_occupancy
Sc1 0.713 0.713 0.861 1
Ir1 0.000 0.000 0.000 1
Sc2 0.287 0.287 0.139 1
Nd1 0.500 0.500 0.500 1
```

- E (eV per atom) = -6.898
- symmetry = R-3m
- DOS at the Fermi energy (states/eV per atom) = 1.000
- volume (A^3/atom) = 24.9
- energy relative to the elements (eV per atom) = -0.33
- energy above the lowest structure with this stoichiometry (meV per atom) = 167

***

# 4
VASP calculation (PBE) on an optimized crystal structure of GaTeAu.

CIF file:
```
data_GaTeAu
_chemical_formula_sum 'Ga2 Te2 Au2'
_cell_length_a 4.734
_cell_length_b 9.570
_cell_length_c 6.885
_cell_angle_alpha 41.33
_cell_angle_beta 59.02
_cell_angle_gamma 57.52
_space_group_name_H-M_alt 'P 1'
_space_group_IT_number 1
loop_
_space_group_symop_operation_xyz
'x,y,z'
loop_
_atom_site_label
_atom_site_fract_x
_atom_site_fract_y
_atom_site_fract_z
_atom_site_occupancy
Au1 0.748 0.602 0.283 1
Te1 0.219 0.819 0.854 1
Te2 0.781 0.181 0.146 1
Ga1 0.790 0.224 0.495 1
Au2 0.252 0.398 0.717 1
Ga2 0.210 0.776 0.505 1
```

- E (eV per atom) = -3.274
- symmetry = P-1
- DOS at the Fermi energy (states/eV per atom) = 0.181
- formation energy from raw total energies (kJ per mole of atoms) = -12.1
- volume (A^3/atom) = 28.4

***

# 5
VASP calculation (PBE) on an optimized crystal structure of BaVGeH2.

CIF file:
```
data_BaVGeH2
_chemical_formula_sum 'Ba1 V1 Ge1 H2'
_cell_length_a 4.371
_cell_length_b 4.830
_cell_length_c 4.371
_cell_angle_alpha 90.00
_cell_angle_beta 90.00
_cell_angle_gamma 90.00
_space_group_name_H-M_alt 'P 1'
_space_group_IT_number 1
loop_
_space_group_symop_operation_xyz
'x,y,z'
loop_
_atom_site_label
_atom_site_fract_x
_atom_site_fract_y
_atom_site_fract_z
_atom_site_occupancy
V1 0.000 0.000 0.000 1
Ba1 0.500 0.500 0.500 1
H1 0.500 0.000 0.000 1
Ge1 0.000 0.500 0.000 1
H2 0.000 0.000 0.500 1
```

- E (eV per atom) = -4.420
- symmetry = P4/mmm
- DOS at the Fermi energy (states/eV per atom) = 0.266
- volume (A^3/atom) = 18.5

***

# 6
VASP calculation (PBE) on an optimized crystal structure of K2AlPt.

CIF file:
```
data_K2AlPt
_chemical_formula_sum 'K2 Al1 Pt1'
_cell_length_a 4.238
_cell_length_b 4.238
_cell_length_c 9.686
_cell_angle_alpha 77.10
_cell_angle_beta 77.10
_cell_angle_gamma 61.73
_space_group_name_H-M_alt 'P 1'
_space_group_IT_number 1
loop_
_space_group_symop_operation_xyz
'x,y,z'
loop_
_atom_site_label
_atom_site_fract_x
_atom_site_fract_y
_atom_site_fract_z
_atom_site_occupancy
Pt1 0.454 0.454 0.625 1
K1 0.219 0.219 0.359 1
Al1 0.792 0.792 0.625 1
K2 0.035 0.035 0.891 1
```

- E (eV per atom) = -3.315
- symmetry = Cm
- DOS at the Fermi energy (states/eV per atom) = 0.678
- volume (A^3/atom) = 37.0
- energy relative to the elements (eV per atom) = -0.32

***

# 7
VASP calculation (PBE) on an optimized crystal structure of UCdSb2.

CIF file:
```
data_UCdSb2
_chemical_formula_sum 'U1 Cd1 Sb2'
_cell_length_a 4.027
_cell_length_b 4.945
_cell_length_c 4.945
_cell_angle_alpha 90.00
_cell_angle_beta 90.00
_cell_angle_gamma 90.00
_space_group_name_H-M_alt 'P 1'
_space_group_IT_number 1
loop_
_space_group_symop_operation_xyz
'x,y,z'
loop_
_atom_site_label
_atom_site_fract_x
_atom_site_fract_y
_atom_site_fract_z
_atom_site_occupancy
U1 0.500 0.000 0.000 1
Sb1 0.000 0.000 0.500 1
Sb2 0.000 0.500 0.000 1
Cd1 0.500 0.500 0.500 1
```

- E (eV per atom) = -5.309
- symmetry = P4/mmm
- DOS at the Fermi energy (states/eV per atom) = 1.448
- formation energy from raw total energies (kJ per mole of atoms) = -19.0
- volume (A^3/atom) = 24.6
- energy above the lowest structure with this stoichiometry (meV per atom) = 0

***

# 8
VASP calculation (PBE) on an optimized crystal structure of CePrGdAg.

CIF file:
```
data_CePrGdAg
_chemical_formula_sum 'Ce1 Pr1 Gd1 Ag1'
_cell_length_a 5.393
_cell_length_b 5.393
_cell_length_c 5.393
_cell_angle_alpha 60.00
_cell_angle_beta 60.00
_cell_angle_gamma 60.00
_space_group_name_H-M_alt 'P 1'
_space_group_IT_number 1
loop_
_space_group_symop_operation_xyz
'x,y,z'
loop_
_atom_site_label
_atom_site_fract_x
_atom_site_fract_y
_atom_site_fract_z
_atom_site_occupancy
Gd1 0.250 0.250 0.250 1
Ag1 0.500 0.500 0.500 1
Pr1 0.750 0.750 0.750 1
Ce1 0.000 0.000 0.000 1
```

- E (eV per atom) = -6.804
- symmetry = F-43m
- DOS at the Fermi energy (states/eV per atom) = 2.043
- volume (A^3/atom) = 27.7
- energy relative to the elements (eV per atom) = 0.11

***

# 9
VASP calculation (PBE) on an optimized crystal structure of Tm4CoSn3.

CIF file:
```
data_Tm4CoSn3
_chemical_formula_sum 'Tm4 Co1 Sn3'
_cell_length_a 4.220
_cell_length_b 4.321
_cell_length_c 10.947
_cell_angle_alpha 90.00
_cell_angle_beta 90.00
_cell_angle_gamma 90.00
_space_group_name_H-M_alt 'P 1'
_space_group_IT_number 1
loop_
_space_group_symop_operation_xyz
'x,y,z'
loop_
_atom_site_label
_atom_site_fract_x
_atom_site_fract_y
_atom_site_fract_z
_atom_site_occupancy
Sn1 0.500 0.000 0.926 1
Tm1 0.500 0.000 0.643 1
Sn2 0.000 0.000 0.411 1
Sn3 0.000 0.500 0.598 1
Tm2 0.000 0.500 0.885 1
Tm3 0.500 0.500 0.328 1
Tm4 0.000 0.000 0.135 1
Co1 0.500 0.500 0.075 1
```

- E (eV per atom) = -5.123
- symmetry = Pmm2
- DOS at the Fermi energy (states/eV per atom) = 0.904
- volume (A^3/atom) = 25.0
- energy relative to the elements (eV per atom) = -0.50

***

# 10
VASP calculation (PBE) on an optimized crystal structure of TaZnIn2.

CIF file:
```
data_TaZnIn2
_chemical_formula_sum 'Ta1 Zn1 In2'
_cell_length_a 5.529
_cell_length_b 5.529
_cell_length_c 5.529
_cell_angle_alpha 137.02
_cell_angle_beta 137.02
_cell_angle_gamma 62.41
_space_group_name_H-M_alt 'P 1'
_space_group_IT_number 1
loop_
_space_group_symop_operation_xyz
'x,y,z'
loop_
_atom_site_label
_atom_site_fract_x
_atom_site_fract_y
_atom_site_fract_z
_atom_site_occupancy
Ta1 0.500 0.500 0.000 1
In1 0.250 0.750 0.500 1
In2 0.000 0.000 0.000 1
Zn1 0.750 0.250 0.500 1
```

- E (eV per atom) = -4.430
- symmetry = I-4m2
- DOS at the Fermi energy (states/eV per atom) = 0.454
- volume (A^3/atom) = 19.4
- energy relative to the elements (eV per atom) = 0.22

***

# 11
VASP calculation (PBE) on an optimized crystal structure of TaVSe4.

CIF file:
```
data_TaVSe4
_chemical_formula_sum 'Ta1 V1 Se4'
_cell_length_a 3.457
_cell_length_b 5.998
_cell_length_c 7.646
_cell_angle_alpha 67.28
_cell_angle_beta 76.99
_cell_angle_gamma 90.00
_space_group_name_H-M_alt 'P 1'
_space_group_IT_number 1
loop_
_space_group_symop_operation_xyz
'x,y,z'
loop_
_atom_site_label
_atom_site_fract_x
_atom_site_fract_y
_atom_site_fract_z
_atom_site_occupancy
Se1 0.881 0.557 0.239 1
V1 0.000 0.000 0.000 1
Se2 0.385 0.046 0.232 1
Se3 0.119 0.443 0.761 1
Se4 0.615 0.954 0.768 1
Ta1 0.500 0.500 0.000 1
```

- E (eV per atom) = -6.576
- symmetry = C2/m
- DOS at the Fermi energy (states/eV per atom) = 0.296
- formation energy from raw total energies (kJ per mole of atoms) = -73.1
- volume (A^3/atom) = 23.6
- energy above the lowest structure with this stoichiometry (meV per atom) = 0

***

# 12
VASP calculation (PBE) on an optimized crystal structure of MnNiTe2.

CIF file:
```
data_MnNiTe2
_chemical_formula_sum 'Mn1 Ni1 Te2'
_cell_length_a 3.508
_cell_length_b 3.508
_cell_length_c 7.210
_cell_angle_alpha 90.00
_cell_angle_beta 90.00
_cell_angle_gamma 90.00
_space_group_name_H-M_alt 'P 1'
_space_group_IT_number 1
loop_
_space_group_symop_operation_xyz
'x,y,z'
loop_
_atom_site_label
_atom_site_fract_x
_atom_site_fract_y
_atom_site_fract_z
_atom_site_occupancy
Te1 0.000 0.000 0.881 1
Ni1 0.500 0.500 0.721 1
Te2 0.500 0.500 0.368 1
Mn1 0.000 0.000 0.530 1
```

- E (eV per atom) = -5.396
- symmetry = P4mm
- DOS at the Fermi energy (states/eV per atom) = 0.502
- formation energy from raw total energies (kJ per mole of atoms) = -8.5
- volume (A^3/atom) = 22.2

***

> Which formula does entry 7 have?

UCdSb2

***

> The lowest volume belongs to which entry?

KUBe2F8

***

> Among the records above, which one has the highest volume?

K2AlPt